Co2RhCl after structural relaxation. Source: Alexandria, functional PBE-GGA.

Calculated values
Its uncorrected energy is -5.388 eV/atom. Its formation energy (no corrections) is 0.465 eV per atom. The calculation puts the density of states at the Fermi level at 5.84 states/eV per cell.

Unit cell a=2.821 b=2.821 c=8.135 alpha=90.00 beta=90.00 gamma=118.95
Fractional positions:
1 Co 0.000 0.000 0.000
2 Co 0.500 0.500 0.229
3 Rh 0.000 0.000 0.477
4 Cl 0.500 0.500 0.771